{"formula": "PrUOs", "functional": "PBE-GGA", "state": "optimized geometry", "relative_energy_mev_per_atom": 0, "cell": [[0.000, 3.386, 3.386], [3.386, 0.000, 3.386], [3.386, 3.386, 0.000]], "species": ["Pr", "U", "Os"], "fractional_positions": [[0.000, 0.000, 0.000], [0.500, 0.500, 0.500], [0.250, 0.250, 0.250]]}

=====

{"formula": "PrYOs", "functional": "PBE-GGA", "state": "optimized geometry", "relative_energy_mev_per_atom": 0, "cell": [[0.000, 3.388, 3.388], [3.388, 0.000, 3.388], [3.388, 3.388, 0.000]], "species": ["Pr", "Y", "Os"], "fractional_positions": [[0.000, 0.000, 0.000], [0.750, 0.750, 0.750], [0.500, 0.500, 0.500]]}

=====

{"formula": "PrZnOs", "functional": "PBE-GGA", "state": "optimized geometry", "total_energy_ev_per_atom": -5.389, "cell": [[0.000, 3.266, 3.266], [3.266, 0.000, 3.266], [3.266, 3.266, 0.000]], "species": ["Pr", "Zn", "Os"], "fractional_positions": [[0.000, 0.000, 0.000], [0.500, 0.500, 0.500], [0.250, 0.250, 0.250]]}

=====

{"formula": "PrZnOs", "functional": "PBE-GGA", "state": "optimized geometry", "total_energy_ev_per_atom": -4.741, "cell": [[0.000, 3.352, 3.352], [3.352, 0.000, 3.352], [3.352, 3.352, 0.000]], "species": ["Pr", "Zn", "Os"], "fractional_positions": [[0.000, 0.000, 0.000], [0.250, 0.250, 0.250], [0.750, 0.750, 0.750]]}